Entry 1:
This record from Alexandria describes a relaxed Pb3WN crystal. The functional is GGA-PBE.

Values from the calculation:
**Excess energy over the best structure of this formula in the dataset**: 0.0000 eV/atom
**E_form (uncorrected)**: 1.429 eV/atom
**Density**: 12208 kg/m3

Lattice parameters (Å, degrees): 4.8126 4.8126 4.8126 90.00 90.00 90.00
Closest atoms and distances in Å follow each position.
Sites, in units of the cell vectors:
Pb 0.0000 0.0000 0.5000  2 N 2.41
Pb 0.0000 0.5000 0.0000  2 N 2.41
Pb 0.5000 0.0000 0.0000  2 N 2.41
W 0.5000 0.5000 0.5000  12 Pb 3.40
N 0.0000 0.0000 0.0000  6 Pb 2.41


Entry 2:
This record from Alexandria describes a relaxed PbW3N crystal. The functional is GGA-PBE.

Values from the calculation:
**Excess energy over the best structure of this formula in the dataset**: 0.0000 eV/atom
**E_form (uncorrected)**: 0.535 eV/atom
**Density**: 16829 kg/m3

Lattice parameters (Å, degrees): 4.2404 4.2404 4.2404 90.00 90.00 90.00
Closest atoms and distances in Å follow each position.
Sites, in units of the cell vectors:
Pb 0.0000 0.0000 0.0000  12 W 3.00
W 0.0000 0.5000 0.5000  2 N 2.12
W 0.5000 0.0000 0.5000  2 N 2.12
W 0.5000 0.5000 0.0000  2 N 2.12
N 0.5000 0.5000 0.5000  6 W 2.12


Entry 3:
This record from Alexandria describes a relaxed PbWN2 crystal. The functional is GGA-PBE.

Values from the calculation:
**E_form (uncorrected)**: 0.081 eV/atom
**Density**: 11523 kg/m3

Lattice parameters (Å, degrees): 7.4261 7.4261 7.4261 24.18 24.18 24.18
Closest atoms and distances in Å follow each position.
Sites, in units of the cell vectors:
Pb 0.0000 0.0000 0.0000  2 N 2.51
W 0.5000 0.5000 0.5000  6 N 2.10
N 0.1162 0.1162 0.1162  3 W 2.10
N 0.8838 0.8838 0.8838  3 W 2.10


Entry 4:
This record from Alexandria describes a relaxed Y3PbN crystal. The functional is GGA-PBE.

Values from the calculation:
**E_form (uncorrected)**: -0.269 eV/atom
**Density**: 4477 kg/m3

Lattice parameters (Å, degrees): 3.4076 8.6112 8.6112 45.74 90.00 90.00
Closest atoms and distances in Å follow each position.
Sites, in units of the cell vectors:
Y 0.0000 0.0000 0.0000  1 N 2.35
Y 0.5000 0.0755 0.5976  2 N 2.35
Y 0.5000 0.5976 0.0755  2 N 2.35
Pb 0.5000 0.1732 0.1732  4 Y 3.13-3.23, 2 Pb 3.41
N 0.0000 0.8517 0.8517  5 Y 2.35


Entry 5:
This record from Alexandria describes a relaxed Y3PbN crystal. The functional is GGA-PBE.

Values from the calculation:
**E_form (uncorrected)**: -0.931 eV/atom
**Density**: 6935 kg/m3

Lattice parameters (Å, degrees): 6.8046 6.8046 5.8273 90.00 90.00 120.00
Closest atoms and distances in Å follow each position.
Sites, in units of the cell vectors:
Y 0.1609 0.3218 0.2500  2 N 2.39
Y 0.1609 0.8391 0.2500  2 N 2.39
Y 0.3218 0.1609 0.7500  2 N 2.39
Y 0.6782 0.8391 0.2500  2 N 2.39
Y 0.8391 0.1609 0.7500  2 N 2.39
Y 0.8391 0.6782 0.7500  2 N 2.39
Pb 0.3333 0.6667 0.7500  12 Y 3.40-3.55
Pb 0.6667 0.3333 0.2500  12 Y 3.40-3.55
N 0.0000 0.0000 0.0000  6 Y 2.39
N 0.0000 0.0000 0.5000  6 Y 2.39


Entry 6:
This record from Alexandria describes a relaxed Y3PbN crystal. The functional is GGA-PBE.

Values from the calculation:
**E_form (uncorrected)**: -0.325 eV/atom
**Density**: 7008 kg/m3

Lattice parameters (Å, degrees): 5.2661 5.2661 9.6282 90.00 90.00 120.00
Closest atoms and distances in Å follow each position.
Sites, in units of the cell vectors:
Y 0.0000 0.0000 0.2500  2 N 2.41
Y 0.0000 0.0000 0.7500  2 N 2.41
Y 0.3333 0.6667 0.0725  1 Pb 3.11, 3 N 3.12, 4 Y 3.35-3.42
Y 0.3333 0.6667 0.4275  1 Pb 3.11, 3 N 3.12, 4 Y 3.35-3.42
Y 0.6667 0.3333 0.5725  1 Pb 3.11, 3 N 3.12, 4 Y 3.35-3.42
Y 0.6667 0.3333 0.9275  1 Pb 3.11, 3 N 3.12, 4 Y 3.35-3.42
Pb 0.3333 0.6667 0.7500  5 Y 3.04-3.11
Pb 0.6667 0.3333 0.2500  5 Y 3.04-3.11
N 0.0000 0.0000 0.0000  2 Y 2.41
N 0.0000 0.0000 0.5000  2 Y 2.41


Entry 7:
This record from Alexandria describes a relaxed Y5Pb4N crystal. The functional is GGA-PBE.

Values from the calculation:
**E_form (uncorrected)**: -0.571 eV/atom
**Density**: 7776 kg/m3

Lattice parameters (Å, degrees): 7.3458 7.3458 7.3458 100.25 100.25 130.10
Closest atoms and distances in Å follow each position.
Sites, in units of the cell vectors:
Y 0.0000 0.0000 0.0000  1 N 2.35
Y 0.3342 0.6743 0.8815  1 N 2.43
Y 0.4527 0.3342 0.6598  1 N 2.43
Y 0.6743 0.7928 0.3402  1 N 2.43
Y 0.7928 0.4527 0.1185  1 N 2.43
Pb 0.0075 0.7369 0.6057  6 Y 3.14-3.31, 1 Pb 3.36
Pb 0.1313 0.4018 0.3943  6 Y 3.14-3.31, 1 Pb 3.36
Pb 0.4018 0.0075 0.2706  6 Y 3.14-3.31, 1 Pb 3.36
Pb 0.7369 0.1313 0.7294  6 Y 3.14-3.31, 1 Pb 3.36
N 0.6211 0.6211 0.0000  5 Y 2.35-2.43


Entry 8:
This record from Alexandria describes a relaxed Y3PbN crystal. The functional is GGA-PBE.

Values from the calculation:
**E_form (uncorrected)**: -0.907 eV/atom
**Density**: 6788 kg/m3

Lattice parameters (Å, degrees): 8.3400 8.3400 3.6329 90.00 90.00 109.13
Closest atoms and distances in Å follow each position.
Sites, in units of the cell vectors:
Y 0.1582 0.4296 0.5000  2 N 2.43
Y 0.2091 0.7909 0.0000  2 N 2.48
Y 0.4296 0.1582 0.5000  2 N 2.43
Y 0.5704 0.8418 0.5000  2 N 2.43
Y 0.7909 0.2091 0.0000  2 N 2.48
Y 0.8418 0.5704 0.5000  2 N 2.43
Pb 0.0000 0.0000 0.5000  8 Y 3.37-3.39, 2 Pb 3.63
Pb 0.5000 0.5000 0.0000  8 Y 3.27, 2 Pb 3.63
N 0.0000 0.5000 0.0000  6 Y 2.43-2.48
N 0.5000 0.0000 0.0000  6 Y 2.43-2.48